(1)
## SmMg6Sc3 (GGA-PBE)

Data for an optimized crystal structure of SmMg6Sc3.

Results
- ΔE_f: -39.0 meV/atom
- Raw total energy: -3.367 eV per atom
- V: 24.15 Å³/atom
- Magnetization: 0.00 μB per formula unit

CIF file:
```
data_SmMg6Sc3
_cell_length_a 8.950
_cell_length_b 5.138
_cell_length_c 10.929
_cell_angle_alpha 90.00
_cell_angle_beta 106.04
_cell_angle_gamma 90.00
_symmetry_space_group_name_H-M 'P 1'
_symmetry_Int_Tables_number 1
_symmetry_space_group_name_Hall 'P 1'
loop_
_atom_site_label
_atom_site_type_symbol
_atom_site_fract_x
_atom_site_fract_y
_atom_site_fract_z
Sm1 Sm 0.055 0.250 0.397
Sm2 Sm 0.945 0.750 0.603
Mg1 Mg 0.057 0.750 0.909
Mg2 Mg 0.153 0.750 0.201
Mg3 Mg 0.161 0.250 0.713
Mg4 Mg 0.265 0.750 0.505
Mg5 Mg 0.359 0.250 0.299
Mg6 Mg 0.451 0.750 0.100
Mg7 Mg 0.549 0.250 0.900
Mg8 Mg 0.641 0.750 0.701
Mg9 Mg 0.735 0.250 0.495
Mg10 Mg 0.839 0.750 0.287
Mg11 Mg 0.847 0.250 0.799
Mg12 Mg 0.943 0.250 0.091
Sc1 Sc 0.254 0.250 0.004
Sc2 Sc 0.353 0.750 0.804
Sc3 Sc 0.454 0.250 0.606
Sc4 Sc 0.546 0.750 0.394
Sc5 Sc 0.647 0.250 0.196
Sc6 Sc 0.746 0.750 0.996
```



(2)
## Sm5Mg4Sc (GGA-PBE)

Data for an optimized crystal structure of Sm5Mg4Sc.

Results
- ΔE_f: -61.1 meV/atom
- Raw total energy: -3.692 eV per atom
- V: 28.65 Å³/atom
- Magnetization: 0.00 μB per formula unit

CIF file:
```
data_Sm5Mg4Sc
_cell_length_a 3.805
_cell_length_b 3.805
_cell_length_c 19.785
_cell_angle_alpha 90.00
_cell_angle_beta 90.00
_cell_angle_gamma 90.00
_symmetry_space_group_name_H-M 'P 1'
_symmetry_Int_Tables_number 1
_symmetry_space_group_name_Hall 'P 1'
loop_
_atom_site_label
_atom_site_type_symbol
_atom_site_fract_x
_atom_site_fract_y
_atom_site_fract_z
Sm1 Sm 0.000 0.000 0.000
Sm2 Sm 0.000 0.000 0.196
Sm3 Sm 0.000 0.000 0.395
Sm4 Sm 0.000 0.000 0.605
Sm5 Sm 0.000 0.000 0.804
Mg1 Mg 0.500 0.500 0.099
Mg2 Mg 0.500 0.500 0.296
Mg3 Mg 0.500 0.500 0.704
Mg4 Mg 0.500 0.500 0.901
Sc1 Sc 0.500 0.500 0.500
```



What is the ΔE_f in the second record? -61.1 meV/atom